Record 1
Here is an optimized crystal structure of AlCo2Tc from Alexandria. Energies are from PBEsol.

Lattice parameters (Å, degrees): 5.253 6.818 2.625 90.00 90.00 90.00
Space group Cmmm (No. 65)
Inequivalent atoms, fractional coordinates:
Al: 0.000 0.000 0.000
Co: 0.250 0.250 0.500
Tc: 0.000 0.500 0.000

Values from the calculation:
Uncorrected energy: -7.8757 eV/atom

---

Record 2
Here is an optimized crystal structure of AlCo2Te from Alexandria. Energies are from PBEsol.

Lattice parameters (Å, degrees): 5.982 5.982 5.982 90.00 90.00 90.00
Space group Fm-3m (No. 225)
Inequivalent atoms, fractional coordinates:
Al: 0.000 0.000 0.000
Co: 0.250 0.250 0.250
Te: 0.000 0.000 0.500

Values from the calculation:
ΔE_f (raw): 0.041 eV/atom

---

Record 3
Here is an optimized crystal structure of ThAlCo from Alexandria. Energies are from PBEsol.

Lattice parameters (Å, degrees): 6.8917 6.8917 4.0070 90.00 90.00 120.00
Space group P-62m (No. 189)
Inequivalent atoms, fractional coordinates:
Th: 0.0000 0.5792 0.0000
Al: 0.0000 0.2275 0.5000
Co: 0.0000 0.0000 0.0000
Co: 0.3333 0.6667 0.5000

Values from the calculation:
Uncorrected energy: -7.1620 eV/atom

---

Record 4
Here is an optimized crystal structure of Ti13Al9Co8 from Alexandria. Energies are from PBEsol.

Lattice parameters (Å, degrees): 8.3607 8.3607 20.5632 90.00 90.00 120.00
Space group R3m (No. 160, hexagonal axes)
Inequivalent atoms, fractional coordinates:
Ti: 0.0000 0.0000 0.0000
Ti: 0.0588 0.5294 0.3550
Ti: 0.0871 0.5436 0.0059
Ti: 0.1736 0.3472 0.8270
Ti: 0.2062 0.4123 0.2152
Al: 0.0000 0.0000 0.2386
Al: 0.0000 0.0000 0.4485
Al: 0.0000 0.0000 0.7787
Al: 0.0176 0.5088 0.7472
Al: 0.2150 0.4301 0.5667
Co: 0.0000 0.0000 0.1206
Co: 0.0000 0.0000 0.6242
Co: 0.0014 0.5007 0.6204
Co: 0.1686 0.3371 0.4541

Values from the calculation:
Uncorrected energy: -7.4236 eV/atom

---

Record 5
Here is an optimized crystal structure of TiAlCo2 from Alexandria. Energies are from PBEsol.

Lattice parameters (Å, degrees): 2.923 2.923 5.609 90.00 90.00 90.00
Space group P4/mmm (No. 123)
Inequivalent atoms, fractional coordinates:
Ti: 0.000 0.000 0.000
Al: 0.000 0.000 0.500
Co: 0.500 0.500 0.248

Values from the calculation:
Uncorrected energy: -7.5266 eV/atom

---

Record 6
Here is an optimized crystal structure of Ti6Al16Co7 from Alexandria. Energies are from PBEsol.

Lattice parameters (Å, degrees): 11.658 11.658 11.658 90.00 90.00 90.00
Space group Fm-3m (No. 225)
Inequivalent atoms, fractional coordinates:
Ti: 0.000 0.000 0.187
Al: 0.119 0.119 0.381
Al: 0.160 0.160 0.160
Co: 0.000 0.000 0.500
Co: 0.000 0.250 0.250

Values from the calculation:
Uncorrected energy: -6.3650 eV/atom